# CrTc3Cl

A relaxed structure of CrTc3Cl (PBEsol, Alexandria via LeMat-Bulk).

Output
DOS at the Fermi energy: 6.25 states/eV/f.u.
E: -37.4 eV for the cell shown
spin magnetization: 3.0 μB per formula unit

Cell lengths 4.4404, 4.4404, 4.4404 Å; angles 90.00, 90.00, 90.00 degrees
Last column: nearest neighbours and their distance in Å.
Space group Pm-3m (No. 221)
Inequivalent atoms, fractional coordinates:
Cr (0.0000, 0.0000, 0.0000) x1  6 Tc 2.22
Tc (0.0000, 0.0000, 0.5000) x3  2 Cr 2.22
Cl (0.5000, 0.5000, 0.5000) x1  12 Tc 3.14

---

# LiZn2Re

A relaxed structure of LiZn2Re (PBEsol, Alexandria via LeMat-Bulk).

Output
DOS at the Fermi energy: 1.25 states/eV/f.u.
ΔE to the lowest computed polymorph: 0.000 eV per atom
E_form: 0.3 eV/f.u.
spin magnetization: 0.0 μB per formula unit

Cell lengths 9.6784, 2.6160, 4.6423 Å; angles 90.00, 111.47, 90.00 degrees
Last column: nearest neighbours and their distance in Å.
Space group Cm (No. 8)
Inequivalent atoms, fractional coordinates:
Li (0.0000, 0.0000, 0.0000) x2  7 Zn 2.60-2.73, 2 Li 2.62, 3 Re 2.84-2.89
Zn (0.2497, 0.5000, 0.0936) x2  3 Li 2.61-2.64, 4 Zn 2.62-2.74, 4 Re 2.66-2.68
Zn (0.4883, 0.0000, 0.5079) x2  3 Re 2.60-2.64, 4 Li 2.60-2.73, 4 Zn 2.62-2.74
Re (0.2360, 0.0000, 0.5859) x2  7 Zn 2.60-2.68, 2 Re 2.62, 3 Li 2.84-2.89

---

# Sc2AgPt

A relaxed structure of Sc2AgPt (PBEsol, Alexandria via LeMat-Bulk).

Output
DOS at the Fermi energy: 2.73 states/eV/f.u.
E_form: -3.0 eV/f.u.
spin magnetization: 0.0 μB per formula unit

Cell lengths 3.3241, 4.6650, 4.6647 Å; angles 90.00, 90.00, 90.00 degrees
Last column: nearest neighbours and their distance in Å.
Space group Pmm2 (No. 25)
Inequivalent atoms, fractional coordinates:
Sc (0.0000, 0.0000, 0.0000) x1  4 Ag 2.86-2.87, 4 Pt 2.86
Sc (0.0000, 0.5000, 0.4990) x1  4 Pt 2.86-2.87, 4 Ag 2.86
Ag (0.5000, 0.0000, 0.5005) x1  8 Sc 2.86-2.87
Pt (0.5000, 0.5000, 0.9987) x1  8 Sc 2.86-2.87

---

# Ca2ReBiPt

A relaxed structure of Ca2ReBiPt (PBEsol, Alexandria via LeMat-Bulk).

Output
DOS at the Fermi energy: 4.68 states/eV/f.u.
E_form: 4.2 eV/f.u.
spin magnetization: 3.5 μB per formula unit

Cell lengths 5.3017, 5.3017, 5.1806 Å; angles 90.00, 90.00, 90.00 degrees
Last column: nearest neighbours and their distance in Å.
Space group P4/mmm (No. 123)
Inequivalent atoms, fractional coordinates:
Ca (0.0000, 0.5000, 0.0000) x2  2 Pt 2.65
Re (0.0000, 0.0000, 0.5000) x1  8 Ca 3.71, 4 Bi 3.75
Bi (0.5000, 0.5000, 0.5000) x1  2 Pt 2.59
Pt (0.5000, 0.5000, 0.0000) x1  2 Bi 2.59, 4 Ca 2.65

---

Question: Which formula does entry 3 have?
Answer: Sc2AgPt

---

Question: Among the records above, which one has the lowest DOS at the Fermi energy?
Answer: LiZn2Re

---

Question: Among the records above, which one has the lowest DOS at the Fermi energy?
Answer: LiZn2Re

---

Question: Number 3 is which compound?
Answer: Sc2AgPt